(1)
VASP calculation (PBEsol) on crystalline Ni3Ru at its relaxed geometry.

Cell lengths 3.9935, 3.9935, 3.9935 Å; angles 60.00, 60.00, 60.00 degrees
Atoms (fractional coordinates):
Ni 0.0000 0.0000 0.0000
Ni 0.2500 0.2500 0.2500
Ni 0.7500 0.7500 0.7500
Ru 0.5000 0.5000 0.5000

Energy of formation from the pure elements, eV/atom: 0.2466
SG: Fm-3m (225)
Energy, eV/cell: -27.66
Crystal system: cubic

(2)
VASP calculation (PBEsol) on crystalline Ni4Ru at its relaxed geometry.

Cell lengths 4.3206, 4.3206, 4.3206 Å; angles 99.44, 99.44, 132.22 degrees
Atoms (fractional coordinates):
Ni 0.1024 0.6993 0.8018
Ni 0.3007 0.1024 0.4031
Ni 0.6993 0.8976 0.5969
Ni 0.8976 0.3007 0.1982
Ru 0.5000 0.5000 0.0000

Energy of formation from the pure elements, eV/atom: 0.0574
SG: I4/m (87)
Energy, eV/cell: -34.52
Crystal system: tetragonal

(3)
VASP calculation (PBEsol) on crystalline Ni3Ru at its relaxed geometry.

Cell lengths 2.5209, 3.5473, 4.9783 Å; angles 90.00, 90.00, 90.00 degrees
Atoms (fractional coordinates):
Ni 0.0000 0.0000 0.0000
Ni 0.5000 0.5000 0.2475
Ni 0.5000 0.5000 0.7525
Ru 0.0000 0.0000 0.5000

Energy of formation from the pure elements, eV/atom: 0.0875
SG: Pmmm (47)
Energy, eV/cell: -28.30
Crystal system: orthorhombic

(4)
VASP calculation (PBEsol) on crystalline Ni3Ru at its relaxed geometry.

Cell lengths 4.3777, 8.1282, 5.0169 Å; angles 90.00, 90.00, 90.00 degrees
Atoms (fractional coordinates):
Ni 0.0839 0.2500 0.1338
Ni 0.2485 0.5007 0.8797
Ni 0.2485 0.9993 0.8797
Ni 0.2515 0.0007 0.3797
Ni 0.2515 0.4993 0.3797
Ni 0.4161 0.7500 0.6338
Ni 0.5839 0.2500 0.3662
Ni 0.7485 0.5007 0.6203
Ni 0.7485 0.9993 0.6203
Ni 0.7515 0.0007 0.1203
Ni 0.7515 0.4993 0.1203
Ni 0.9161 0.7500 0.8662
Ru 0.0771 0.2500 0.6258
Ru 0.4229 0.7500 0.1258
Ru 0.5771 0.2500 0.8742
Ru 0.9229 0.7500 0.3742

Energy of formation from the pure elements, eV/atom: 0.0974
SG: Pnma (62)
Energy, eV/cell: -113.02
Crystal system: orthorhombic

(5)
VASP calculation (PBEsol) on crystalline NiRu at its relaxed geometry.

Cell lengths 4.4817, 4.4817, 4.4817 Å; angles 132.86, 132.86, 68.87 degrees
Atoms (fractional coordinates):
Ni 0.3750 0.6250 0.7500
Ni 0.6250 0.3750 0.2500
Ru 0.1250 0.8750 0.2500
Ru 0.8750 0.1250 0.7500

Energy of formation from the pure elements, eV/atom: 0.0774
SG: I4_1/amd (141)
Energy, eV/cell: -32.35
Crystal system: tetragonal

(6)
VASP calculation (PBEsol) on crystalline Ni2Ru at its relaxed geometry.

Cell lengths 5.6650, 5.6650, 3.5560 Å; angles 90.00, 90.00, 143.29 degrees
Atoms (fractional coordinates):
Ni 0.0837 0.9163 0.7500
Ni 0.2470 0.7530 0.2500
Ni 0.7530 0.2470 0.7500
Ni 0.9163 0.0837 0.2500
Ru 0.4165 0.5835 0.7500
Ru 0.5835 0.4165 0.2500

Energy of formation from the pure elements, eV/atom: 0.0895
SG: Cmcm (63)
Energy, eV/cell: -44.44
Crystal system: orthorhombic

(7)
VASP calculation (PBEsol) on crystalline NiRu at its relaxed geometry.

Cell lengths 3.3911, 3.3911, 3.3911 Å; angles 60.00, 60.00, 60.00 degrees
Atoms (fractional coordinates):
Ni 0.0000 0.0000 0.0000
Ru 0.5000 0.5000 0.5000

Energy of formation from the pure elements, eV/atom: 1.1088
SG: Fm-3m (225)
Energy, eV/cell: -14.11
Crystal system: cubic

(8)
VASP calculation (PBEsol) on crystalline NiRu at its relaxed geometry.

Cell lengths 4.5135, 4.1270, 5.0950 Å; angles 90.00, 90.00, 90.00 degrees
Atoms (fractional coordinates):
Ni 0.0865 0.2500 0.1210
Ni 0.4135 0.7500 0.6210
Ni 0.5865 0.2500 0.3790
Ni 0.9135 0.7500 0.8790
Ru 0.0894 0.2500 0.6255
Ru 0.4106 0.7500 0.1255
Ru 0.5894 0.2500 0.8745
Ru 0.9106 0.7500 0.3745

Energy of formation from the pure elements, eV/atom: 0.0721
SG: Pnma (62)
Energy, eV/cell: -64.74
Crystal system: orthorhombic

- Which value of energy of formation from the pure elements does entry 5 give?
  0.0774 eV/atom